No. 1
Material: RbCaTeI
Method: DFT, PBE
State: optimized geometry

Values from the calculation:
ΔE_f (raw) in meV/atom: -1454
Mass density in Mg/m³: 3.8
Space-group type: R3m (160)

Lattice parameters (Å, degrees): 9.0181 9.0181 9.0181 30.40 30.40 30.40
Fractional positions:
Rb (0.0000, 0.0000, 0.0000)
Ca (0.1843, 0.1843, 0.1843)
Te (0.5752, 0.5752, 0.5752)
I (0.7713, 0.7713, 0.7713)

---

No. 2
Material: RbCaTe2I
Method: DFT, PBE
State: optimized geometry

Values from the calculation:
ΔE_f (raw) in meV/atom: -828
E above lowest polymorph in meV/atom: 0.0
Mass density in Mg/m³: 3.7
Space-group type: P4/mmm (123)

Lattice parameters (Å, degrees): 5.9867 5.9867 6.3271 90.00 90.00 90.00
Fractional positions:
Rb (0.0000, 0.0000, 0.0000)
Ca (0.5000, 0.5000, 0.5000)
Te (0.0000, 0.5000, 0.5000)
Te (0.5000, 0.0000, 0.5000)
I (0.5000, 0.5000, 0.0000)

---

No. 3
Material: RbCaTe2I
Method: DFT, PBE
State: optimized geometry

Values from the calculation:
ΔE_f (raw) in meV/atom: 5
E above lowest polymorph in meV/atom: 832.4
Mass density in Mg/m³: 3.5
Space-group type: P4/mmm (123)

Lattice parameters (Å, degrees): 6.1050 6.1050 6.4486 90.00 90.00 90.00
Fractional positions:
Rb (0.0000, 0.0000, 0.0000)
Ca (0.5000, 0.5000, 0.5000)
Te (0.0000, 0.5000, 0.0000)
Te (0.5000, 0.0000, 0.0000)
I (0.0000, 0.0000, 0.5000)

---

No. 4
Material: Rb2CaTiI6
Method: DFT, PBE
State: optimized geometry

Values from the calculation:
ΔE_f (raw) in meV/atom: -1204
Mass density in Mg/m³: 3.9
Space-group type: Fm-3m (225)

Lattice parameters (Å, degrees): 8.4654 8.4654 8.4654 60.00 60.00 60.00
Fractional positions:
Rb (0.2500, 0.2500, 0.2500)
Rb (0.7500, 0.7500, 0.7500)
Ca (0.0000, 0.0000, 0.0000)
Ti (0.5000, 0.5000, 0.5000)
I (0.2584, 0.2584, 0.7416)
I (0.2584, 0.7416, 0.2584)
I (0.2584, 0.7416, 0.7416)
I (0.7416, 0.2584, 0.2584)
I (0.7416, 0.2584, 0.7416)
I (0.7416, 0.7416, 0.2584)

---

No. 5
Material: RbCaTmI6
Method: DFT, PBE
State: optimized geometry

Values from the calculation:
ΔE_f (raw) in meV/atom: -1492
Mass density in Mg/m³: 3.9
Space-group type: P-31c (163)

Lattice parameters (Å, degrees): 7.9791 7.9791 16.2579 90.00 90.00 120.00
Fractional positions:
Rb (0.0000, 0.0000, 0.0000)
Rb (0.0000, 0.0000, 0.5000)
Ca (0.3333, 0.6667, 0.2500)
Ca (0.6667, 0.3333, 0.7500)
Tm (0.3333, 0.6667, 0.7500)
Tm (0.6667, 0.3333, 0.2500)
I (0.0129, 0.3766, 0.6413)
I (0.0129, 0.6363, 0.8587)
I (0.3637, 0.3766, 0.8587)
I (0.3637, 0.9871, 0.6413)
I (0.3766, 0.0129, 0.1413)
I (0.3766, 0.3637, 0.3587)
I (0.6234, 0.6363, 0.6413)
I (0.6234, 0.9871, 0.8587)
I (0.6363, 0.0129, 0.3587)
I (0.6363, 0.6234, 0.1413)
I (0.9871, 0.3637, 0.1413)
I (0.9871, 0.6234, 0.3587)

---

No. 6
Material: RbCaUI6
Method: DFT, PBE
State: optimized geometry

Values from the calculation:
ΔE_f (raw) in meV/atom: -1239
Mass density in Mg/m³: 4.0
Space-group type: P-31c (163)

Lattice parameters (Å, degrees): 8.1285 8.1285 16.2749 90.00 90.00 120.00
Fractional positions:
Rb (0.0000, 0.0000, 0.0000)
Rb (0.0000, 0.0000, 0.5000)
Ca (0.3333, 0.6667, 0.2500)
Ca (0.6667, 0.3333, 0.7500)
U (0.3333, 0.6667, 0.7500)
U (0.6667, 0.3333, 0.2500)
I (0.0010, 0.3708, 0.6382)
I (0.0010, 0.6302, 0.8618)
I (0.3698, 0.3708, 0.8618)
I (0.3698, 0.9990, 0.6382)
I (0.3708, 0.0010, 0.1382)
I (0.3708, 0.3698, 0.3618)
I (0.6292, 0.6302, 0.6382)
I (0.6292, 0.9990, 0.8618)
I (0.6302, 0.0010, 0.3618)
I (0.6302, 0.6292, 0.1382)
I (0.9990, 0.3698, 0.1382)
I (0.9990, 0.6292, 0.3618)

---

No. 7
Material: RbCaV2I
Method: DFT, PBE
State: optimized geometry

Values from the calculation:
ΔE_f (raw) in meV/atom: 1299
Mass density in Mg/m³: 2.2
Space-group type: P4/mmm (123)

Lattice parameters (Å, degrees): 5.5578 5.5578 8.5649 90.00 90.00 90.00
Fractional positions:
Rb (0.0000, 0.0000, 0.0000)
Ca (0.0000, 0.0000, 0.5000)
V (0.0000, 0.5000, 0.5000)
V (0.5000, 0.0000, 0.5000)
I (0.5000, 0.5000, 0.0000)

---

No. 8
Material: Rb2CaVI6
Method: DFT, PBE
State: optimized geometry

Values from the calculation:
ΔE_f (raw) in meV/atom: -1150
Mass density in Mg/m³: 4.0
Space-group type: Fm-3m (225)

Lattice parameters (Å, degrees): 8.4163 8.4163 8.4163 60.00 60.00 60.00
Fractional positions:
Rb (0.2500, 0.2500, 0.2500)
Rb (0.7500, 0.7500, 0.7500)
Ca (0.0000, 0.0000, 0.0000)
V (0.5000, 0.5000, 0.5000)
I (0.2604, 0.2604, 0.7396)
I (0.2604, 0.7396, 0.2604)
I (0.2604, 0.7396, 0.7396)
I (0.7396, 0.2604, 0.2604)
I (0.7396, 0.2604, 0.7396)
I (0.7396, 0.7396, 0.2604)

---

No. 9
Material: RbCaYI6
Method: DFT, PBE
State: optimized geometry

Values from the calculation:
ΔE_f (raw) in meV/atom: -1507
Mass density in Mg/m³: 3.6
Space-group type: P-31c (163)

Lattice parameters (Å, degrees): 8.0210 8.0210 16.2494 90.00 90.00 120.00
Fractional positions:
Rb (0.0000, 0.0000, 0.0000)
Rb (0.0000, 0.0000, 0.5000)
Ca (0.3333, 0.6667, 0.2500)
Ca (0.6667, 0.3333, 0.7500)
Y (0.3333, 0.6667, 0.7500)
Y (0.6667, 0.3333, 0.2500)
I (0.0094, 0.3755, 0.6401)
I (0.0094, 0.6340, 0.8599)
I (0.3660, 0.3755, 0.8599)
I (0.3660, 0.9906, 0.6401)
I (0.3755, 0.0094, 0.1401)
I (0.3755, 0.3660, 0.3599)
I (0.6245, 0.6340, 0.6401)
I (0.6245, 0.9906, 0.8599)
I (0.6340, 0.0094, 0.3599)
I (0.6340, 0.6245, 0.1401)
I (0.9906, 0.3660, 0.1401)
I (0.9906, 0.6245, 0.3599)

---

No. 10
Material: Ca2ReI
Method: DFT, PBE
State: optimized geometry

Values from the calculation:
ΔE_f (raw) in meV/atom: 684
E above lowest polymorph in meV/atom: 124.2
Mass density in Mg/m³: 5.3
Space-group type: I-42d (122)

Lattice parameters (Å, degrees): 6.8349 6.8349 6.8349 107.07 107.07 114.39
Fractional positions:
Ca (0.0997, 0.6250, 0.9747)
Ca (0.3750, 0.3497, 0.4747)
Ca (0.6503, 0.1250, 0.0253)
Ca (0.8750, 0.9003, 0.5253)
Re (0.0000, 0.0000, 0.0000)
Re (0.7500, 0.2500, 0.5000)
I (0.2500, 0.7500, 0.5000)
I (0.5000, 0.5000, 0.0000)

---

No. 11
Material: Ca3ReI
Method: DFT, PBE
State: optimized geometry

Values from the calculation:
ΔE_f (raw) in meV/atom: 1022
E above lowest polymorph in meV/atom: 674.6
Mass density in Mg/m³: 3.9
Space-group type: Pm-3m (221)

Lattice parameters (Å, degrees): 5.7142 5.7142 5.7142 90.00 90.00 90.00
Fractional positions:
Ca (0.0000, 0.0000, 0.5000)
Ca (0.0000, 0.5000, 0.0000)
Ca (0.5000, 0.0000, 0.0000)
Re (0.5000, 0.5000, 0.5000)
I (0.0000, 0.0000, 0.0000)

---

No. 12
Material: CaRe3I
Method: DFT, PBE
State: optimized geometry

Values from the calculation:
ΔE_f (raw) in meV/atom: 3494
E above lowest polymorph in meV/atom: 1231.9
Mass density in Mg/m³: 11.0
Space-group type: Pm-3m (221)

Lattice parameters (Å, degrees): 4.7775 4.7775 4.7775 90.00 90.00 90.00
Fractional positions:
Ca (0.0000, 0.0000, 0.0000)
Re (0.0000, 0.0000, 0.5000)
Re (0.0000, 0.5000, 0.0000)
Re (0.5000, 0.0000, 0.0000)
I (0.5000, 0.5000, 0.5000)